80
Lattice="-0.356 9.410 -12.948 -13.776 -8.082 1.104 1.967 9.006 13.090" Properties=species:S:1:pos:R:3 comment="Ac3Tm5Te12, relaxed, DFT PBE-GGA" m_tot_mub_per_cell=0.00 formation_energy_uncorrected_ev_per_atom=-1.32 pbc="T T T"
Ac -5.187 5.152 -7.660
Ac -10.398 3.298 -8.865
Ac -9.236 3.096 4.154
Ac -1.073 4.719 1.810
Ac -1.542 9.475 -7.919
Ac -8.252 0.729 -0.893
Ac -3.913 9.605 2.139
Ac -10.623 0.859 9.165
Ac -11.091 5.614 -0.564
Ac -2.929 7.238 -2.908
Ac -1.767 7.036 10.111
Ac -6.978 5.181 8.907
Tm -4.719 0.397 2.068
Tm -6.888 -4.041 0.552
Tm 0.000 0.000 0.000
Tm -3.332 2.634 -2.943
Tm 0.806 9.208 0.071
Tm -7.066 0.664 -5.922
Tm -9.639 -1.508 4.118
Tm -0.268 13.927 1.881
Tm -8.139 5.383 -4.112
Tm -0.380 9.273 5.100
Tm -11.785 1.061 -3.854
Tm -6.082 5.167 0.623
Tm -0.178 4.705 -6.474
Tm 0.984 4.503 6.545
Tm -4.025 4.950 5.358
Tm -11.897 -3.594 -0.635
Tm -5.904 0.462 7.097
Tm -2.526 11.842 -2.872
Tm -8.833 7.700 4.189
Tm -7.446 9.937 -0.822
Te -1.900 6.076 -8.596
Te -6.737 2.430 1.818
Te -4.946 8.572 -8.286
Te -2.907 4.470 -5.115
Te -8.731 5.851 1.988
Te -8.059 5.881 -9.494
Te -10.124 0.407 2.028
Te -12.323 -5.428 1.539
Te -12.106 3.826 2.319
Te -8.036 3.537 -6.315
Te -5.880 7.045 -4.750
Te -12.817 0.729 -9.149
Te -8.831 0.261 6.237
Te -5.671 0.984 -3.220
Te -11.896 -3.172 4.754
Te -0.718 8.119 2.487
Te -2.020 1.366 1.844
Te -9.295 -0.359 -4.097
Te -12.272 2.974 -5.945
Te -5.528 -1.370 -0.052
Te -11.815 2.838 6.482
Te -8.013 4.148 -1.518
Te -10.628 6.803 -3.866
Te -2.966 12.958 2.108
Te -4.152 6.185 2.764
Te -1.536 3.531 5.112
Te -9.199 -2.624 -0.862
Te 0.107 7.360 7.191
Te -0.350 7.495 -5.236
Te -6.637 11.704 1.298
Te -2.869 10.692 5.343
Te -11.446 2.215 -1.241
Te -10.144 8.967 -0.598
Te -0.268 13.506 -3.508
Te -3.334 10.072 -4.990
Te 0.653 9.605 10.395
Te -6.494 9.349 4.466
Te -0.058 6.507 -1.073
Te -4.129 6.797 7.561
Te -6.284 3.288 5.996
Te 0.158 15.761 -0.293
Te -2.041 9.927 -0.782
Te -9.258 5.863 6.362
Te -4.105 4.453 10.740
Te -3.434 4.482 -0.742
Te -7.219 1.762 9.532
Te -5.427 7.904 -0.572
Te -10.265 4.258 9.842